# Tm4Pb2C (GGA-PBE, relaxed)
data_Tm4Pb2C
_space_group_name_H-M_alt 'P 1 21/m 1'
_space_group_IT_number 11
_space_group_name_Hall '-P 2yb'
_cell_length_a 6.4326
_cell_length_b 6.7130
_cell_length_c 9.1563
_cell_angle_alpha 90.00
_cell_angle_beta 109.34
_cell_angle_gamma 90.00
loop_
_atom_site_label
_atom_site_type_symbol
_atom_site_fract_x
_atom_site_fract_y
_atom_site_fract_z
_atom_site_occupancy
Tm1 Tm 0.1782 0.2500 0.0556 1
Tm2 Tm 0.2458 0.0021 0.7278 1
Tm3 Tm 0.2706 0.7500 0.3467 1
Pb1 Pb 0.2327 0.2500 0.4168 1
Pb2 Pb 0.3424 0.7500 0.0315 1
C1 C 0.0800 0.2500 0.7995 1
# * offset from the most stable computed form: 194.2 meV per atom


The following is a GGA-PBE calculation of Tm8Pb2C after structural relaxation, from the Alexandria database.

The structure in CIF format:
```
data_Tm8Pb2C
_space_group_name_H-M_alt 'C 1 2/m 1'
_space_group_IT_number 12
_space_group_name_Hall '-C 2y'
_cell_length_a 17.3792
_cell_length_b 5.5018
_cell_length_c 6.4554
_cell_angle_alpha 90.00
_cell_angle_beta 109.05
_cell_angle_gamma 90.00
loop_
_atom_site_label
_atom_site_type_symbol
_atom_site_fract_x
_atom_site_fract_y
_atom_site_fract_z
_atom_site_occupancy
Tm1 Tm 0.0105 0.0000 0.2680 1
Tm2 Tm 0.0885 0.5000 0.8667 1
Tm3 Tm 0.1171 0.5000 0.4062 1
Tm4 Tm 0.2013 0.0000 0.7305 1
Pb1 Pb 0.1908 0.0000 0.2070 1
C1 C 0.0000 0.5000 0.5000 1
```


The following is a GGA-PBE calculation of Tm12Pb5C2 after structural relaxation, from the Alexandria database.

The structure in CIF format:
```
data_Tm12Pb5C2
_space_group_name_H-M_alt 'C 1 2/m 1'
_space_group_IT_number 12
_space_group_name_Hall '-C 2y'
_cell_length_a 16.7543
_cell_length_b 7.4454
_cell_length_c 9.3955
_cell_angle_alpha 90.00
_cell_angle_beta 106.77
_cell_angle_gamma 90.00
loop_
_atom_site_label
_atom_site_type_symbol
_atom_site_fract_x
_atom_site_fract_y
_atom_site_fract_z
_atom_site_occupancy
Tm1 Tm 0.0014 0.0000 0.3317 1
Tm2 Tm 0.0024 0.5000 0.6773 1
Tm3 Tm 0.1477 0.2547 0.0709 1
Tm4 Tm 0.1503 0.2443 0.5759 1
Pb1 Pb 0.0000 0.0000 0.0000 1
Pb2 Pb 0.1866 0.5000 0.3414 1
Pb3 Pb 0.1969 0.5000 0.8485 1
C1 C 0.0000 0.2503 0.5000 1
```


Taking the records one at a time from the top gives formation energy values of -0.368; -0.093; -0.230 eV/atom.
Taking the records one at a time from the top gives size of the total moment values of 0.0; 0.0; 8.0 μB/cell.
Taking the records one at a time from the top gives ρ values of 9.8; 10.1; 9.1 g/cm³.